1.
# TlBiB2Ru

TlBiB2Ru after structural relaxation (GGA-PBE, Alexandria via LeMat-Bulk).

Lattice parameters (Å, degrees): 4.222 4.222 5.630 90.00 90.00 90.00
Fractional positions:
Tl (0.000, 0.000, 0.000)
Bi (0.500, 0.500, 0.000)
B (0.000, 0.500, 0.500)
B (0.500, 0.000, 0.500)
Ru (0.500, 0.500, 0.500)

Values from the calculation:
Calculated formation energy in eV/atom: 0.817


2.
# ZnBiBRu2

ZnBiBRu2 after structural relaxation (GGA-PBE, Alexandria via LeMat-Bulk).

Lattice parameters (Å, degrees): 4.294 4.294 4.099 90.00 90.00 90.00
Fractional positions:
Zn (0.000, 0.000, 0.000)
Bi (0.500, 0.500, 0.000)
B (0.000, 0.000, 0.500)
Ru (0.000, 0.500, 0.500)
Ru (0.500, 0.000, 0.500)

Values from the calculation:
Calculated formation energy in eV/atom: 0.229


3.
# Bi2B2S7

Bi2B2S7 after structural relaxation (GGA-PBE, Alexandria via LeMat-Bulk).

Lattice parameters (Å, degrees): 6.759 6.759 5.980 101.61 101.61 105.59
Fractional positions:
Bi (0.197, 0.803, 0.000)
Bi (0.803, 0.197, 0.000)
B (0.242, 0.242, 0.609)
B (0.758, 0.758, 0.391)
S (0.062, 0.370, 0.725)
S (0.202, 0.202, 0.276)
S (0.370, 0.062, 0.725)
S (0.500, 0.500, 0.500)
S (0.630, 0.938, 0.275)
S (0.798, 0.798, 0.724)
S (0.938, 0.630, 0.275)

Values from the calculation:
Formation energy from raw total energies in eV/atom: -0.122